(1)
5
Lattice="-3.7184 3.3148 -0.1409 -1.0697 -1.3908 -4.4885 -3.1280 -3.4319 1.8089" Properties=species:S:1:pos:R:3 comment="YMoP2Ru | Alexandria via LeMat-Bulk | PBE | optimized geometry" sg="P4/mmm, No. 123" formation_enthalpy_0k_mev_per_atom=2131 pbc="T T T"
P -1.5640 -1.7160 0.9045
P -1.8592 1.6574 -0.0705
Y 0.0000 0.0000 0.0000
Ru -3.9581 -0.7540 -1.4103
Mo -0.5349 -0.6954 -2.2442


(2)
10
Lattice="-2.0018 2.7892 6.1094 -6.6133 0.2914 -2.3000 -0.5022 -2.7579 1.0945" Properties=species:S:1:pos:R:3 comment="Mo2PS2 | Alexandria via LeMat-Bulk | PBE | optimized geometry" sg="P4/mbm, No. 127" e_form_raw_mev_per_atom=30 pbc="T T T"
S -1.8868 -0.3282 2.4445
S -4.3738 1.1319 4.9823
S -4.7436 -0.8092 -0.0784
S -7.2306 0.6509 2.4594
Mo -2.4145 1.9001 3.6797
Mo -6.2007 1.1806 0.1296
Mo -2.5500 0.5556 0.2298
Mo -6.0652 2.5251 3.5796
P -4.3076 1.5403 1.9047
P 0.0000 0.0000 0.0000


(3)
8
Lattice="-4.8792 0.3588 3.1083 2.9203 -1.5449 4.7625 -0.0421 4.0590 4.8697" Properties=species:S:1:pos:R:3 comment="MoPS2 | Alexandria via LeMat-Bulk | PBE | optimized geometry" sg="I-42d, No. 122" e_form_raw_mev_per_atom=366 pbc="T T T"
S -1.6711 1.9670 10.6607
S -2.8195 1.0550 3.8347
S -0.8407 2.6389 6.4823
S 1.3293 0.0849 4.5032
Mo 0.0000 0.0000 0.0000
Mo -2.9504 1.9124 5.9567
P -0.9794 -0.5930 3.9354
P 0.9494 0.9605 6.7838


(4)
5
Lattice="-1.5653 -1.5540 -3.1018 -2.8345 -1.3892 2.1265 -5.1684 3.2541 -1.3573" Properties=species:S:1:pos:R:3 comment="Mo2PS2 | Alexandria via LeMat-Bulk | PBE | optimized geometry" sg="I4/mmm, No. 139" e_form_raw_mev_per_atom=213 pbc="T T T"
Mo -6.6522 0.6425 -1.6352
Mo -2.9160 -0.3316 -0.6974
S -5.1014 0.1967 0.1408
S -4.4668 0.1142 -2.4734
P 0.0000 0.0000 0.0000


| no. | M_tot (μB per cell) |
| --- | --- |
| 1 | 0.0 |
| 2 | 0.0 |
| 3 | 0.0 |
| 4 | 0.0 |